Record 1
# CrNi2H, relaxed, DFT GGA-PBE
data_CrNi2H
_chemical_formula_sum 'Cr4 Ni8 H4'
_space_group_name_H-M_alt 'F m -3 m'
_space_group_IT_number 225
_space_group_name_Hall '-F 4 2 3'
_cell_length_a 5.471
_cell_length_b 5.471
_cell_length_c 5.471
_cell_angle_alpha 90.00
_cell_angle_beta 90.00
_cell_angle_gamma 90.00
loop_
_atom_site_label
_atom_site_fract_x
_atom_site_fract_y
_atom_site_fract_z
Cr1 0.000 0.000 0.000
Ni1 0.250 0.250 0.250
H1 0.000 0.000 0.500
# Total magnetic moment   0.77 μB/atom
# Density of states at the Fermi level   16.4 states/eV/cell


Record 2
# In2HgMo, relaxed, DFT GGA-PBE
data_In2HgMo
_chemical_formula_sum 'In2 Hg1 Mo1'
_space_group_name_H-M_alt 'P 4/m m m'
_space_group_IT_number 123
_space_group_name_Hall '-P 4 2'
_cell_length_a 3.006
_cell_length_b 3.006
_cell_length_c 9.617
_cell_angle_alpha 90.00
_cell_angle_beta 90.00
_cell_angle_gamma 90.00
loop_
_atom_site_label
_atom_site_fract_x
_atom_site_fract_y
_atom_site_fract_z
In1 0.000 0.000 0.216
Hg1 0.500 0.500 0.500
Mo1 0.500 0.500 0.000
# Formation enthalpy at 0 K   367 meV per atom
# Total magnetic moment   0.08 μB/atom
# Density of states at the Fermi level   3.2 states/eV/cell


Record 3
# Ac5Ge3Pb3, relaxed, DFT GGA-PBE
data_Ac5Ge3Pb3
_chemical_formula_sum 'Ac5 Ge3 Pb3'
_space_group_name_H-M_alt 'P -6 2 m'
_space_group_IT_number 189
_space_group_name_Hall 'P -6 -2'
_cell_length_a 10.3360
_cell_length_b 10.3360
_cell_length_c 4.4271
_cell_angle_alpha 90.00
_cell_angle_beta 90.00
_cell_angle_gamma 120.00
loop_
_atom_site_label
_atom_site_fract_x
_atom_site_fract_y
_atom_site_fract_z
Ac1 0.0000 0.2288 0.0000
Ac2 0.3333 0.6667 0.0000
Ge1 0.0000 0.6437 0.0000
Pb1 0.0000 0.4744 0.5000
# Formation enthalpy at 0 K   -275 meV per atom
# Total magnetic moment   0.00 μB/atom
# Density of states at the Fermi level   5.8 states/eV/cell


Record 4
# PrScCuAg, relaxed, DFT GGA-PBE
data_PrScCuAg
_chemical_formula_sum 'Pr4 Sc4 Cu4 Ag4'
_space_group_name_H-M_alt 'F -4 3 m'
_space_group_IT_number 216
_space_group_name_Hall 'F -4 2 3'
_cell_length_a 7.111
_cell_length_b 7.111
_cell_length_c 7.111
_cell_angle_alpha 90.00
_cell_angle_beta 90.00
_cell_angle_gamma 90.00
loop_
_atom_site_label
_atom_site_fract_x
_atom_site_fract_y
_atom_site_fract_z
Pr1 0.000 0.000 0.000
Sc1 0.000 0.000 0.500
Cu1 0.250 0.250 0.250
Ag1 0.250 0.250 0.750
# Formation enthalpy at 0 K   -150 meV per atom
# Total magnetic moment   0.00 μB/atom
# Density of states at the Fermi level   19.8 states/eV/cell


Record 5
# Sc2VIr, relaxed, DFT GGA-PBE
data_Sc2VIr
_chemical_formula_sum 'Sc6 V3 Ir3'
_space_group_name_H-M_alt 'R -3 m'
_space_group_IT_number 166
_space_group_name_Hall '-R 3 2"'
_cell_length_a 2.9917
_cell_length_b 2.9917
_cell_length_c 28.7360
_cell_angle_alpha 90.00
_cell_angle_beta 90.00
_cell_angle_gamma 120.00
loop_
_atom_site_label
_atom_site_fract_x
_atom_site_fract_y
_atom_site_fract_z
Sc1 0.0000 0.0000 0.0930
V1 0.0000 0.0000 0.0000
Ir1 0.0000 0.0000 0.5000
# Formation enthalpy at 0 K   147 meV per atom
# Total magnetic moment   0.38 μB/atom
# Density of states at the Fermi level   8.4 states/eV/cell


Record 6
# La2ScFe, relaxed, DFT GGA-PBE
data_La2ScFe
_chemical_formula_sum 'La2 Sc1 Fe1'
_space_group_name_H-M_alt 'P 1 2/m 1'
_space_group_IT_number 10
_cell_length_a 4.614
_cell_length_b 3.819
_cell_length_c 6.206
_cell_angle_alpha 90.00
_cell_angle_beta 106.79
_cell_angle_gamma 90.00
loop_
_space_group_symop_operation_xyz
'x,y,z'
'-x,-y,-z'
'-x,y,-z'
'x,-y,z'
loop_
_atom_site_label
_atom_site_fract_x
_atom_site_fract_y
_atom_site_fract_z
La1 0.139 0.000 0.301
Sc1 0.500 0.500 0.000
Fe1 0.500 0.500 0.500
# Formation enthalpy at 0 K   254 meV per atom
# Total magnetic moment   0.00 μB/atom
# Density of states at the Fermi level   4.7 states/eV/cell


Record 7
# NaCaTc2, relaxed, DFT GGA-PBE
data_NaCaTc2
_chemical_formula_sum 'Na4 Ca4 Tc8'
_space_group_name_H-M_alt 'I -4 2 d'
_space_group_IT_number 122
_space_group_name_Hall 'I -4 2bw'
_cell_length_a 8.085
_cell_length_b 8.085
_cell_length_c 4.940
_cell_angle_alpha 90.00
_cell_angle_beta 90.00
_cell_angle_gamma 90.00
loop_
_atom_site_label
_atom_site_fract_x
_atom_site_fract_y
_atom_site_fract_z
Na1 0.000 0.000 0.000
Ca1 0.000 0.000 0.500
Tc1 0.220 0.750 0.125
# Formation enthalpy at 0 K   1292 meV per atom
# Total magnetic moment   0.13 μB/atom
# Density of states at the Fermi level   21.7 states/eV/cell


Record 8
# RbLiScS2, relaxed, DFT GGA-PBE
data_RbLiScS2
_chemical_formula_sum 'Rb4 Li4 Sc4 S8'
_space_group_name_H-M_alt 'C m m e'
_space_group_IT_number 67
_space_group_name_Hall '-C 2a 2'
_cell_length_a 6.343
_cell_length_b 14.159
_cell_length_c 6.082
_cell_angle_alpha 90.00
_cell_angle_beta 90.00
_cell_angle_gamma 90.00
loop_
_atom_site_label
_atom_site_fract_x
_atom_site_fract_y
_atom_site_fract_z
Rb1 0.000 0.250 0.239
Li1 0.000 0.000 0.000
Sc1 0.250 0.000 0.500
S1 0.000 0.104 0.714
# Total magnetic moment   0.18 μB/atom
# Density of states at the Fermi level   10.5 states/eV/cell


| no. | total energy (eV per atom) |
| --- | --- |
| 1 | -5.493 |
| 2 | -3.786 |
| 3 | -4.413 |
| 4 | -4.664 |
| 5 | -7.513 |
| 6 | -5.908 |
| 7 | -4.721 |
| 8 | -4.750 |